VASP calculation (GGA-PBE) on an optimized crystal structure of ScTa2Ni.

The space group is Cmmm (No. 65) and the conventional cell measures 5.4662, 9.0278 and 2.8200 Å, with angles of 90.00, 90.00 and 90.00 degrees. Symmetry generates all atoms from Sc at (0.0000, 0.0000, 0.0000), Ta at (0.2500, 0.2500, 0.5000) and Ni at (0.0000, 0.5000, 0.0000).

For the distance to the lowest polymorph of the same formula, the calculation gives 306 meV/atom. The value obtained for the formation energy is 0.243 eV per atom. The spin magnetization comes out at 0.0 μB per formula unit. The calculation puts the density of states at the Fermi level at 11.38 states/eV per cell.